1.
Material: Tb3MgN
Method: DFT, PBE
State: optimized geometry

Cell: 4.8990 4.8990 4.8990 Å, 90.00 90.00 90.00°
Space group Pm-3m (No. 221)
One atom of each set of equivalent atoms:
Tb 0.0000 0.0000 0.5000
Mg 0.5000 0.5000 0.5000
N 0.0000 0.0000 0.0000

Computed properties:
* crystal system: cubic
* mass density: 7.275 g/cm³
* D(E_F): 1.112 states/eV per atom
* E: -5.457 eV per atom
* total moment: 0.000 μB/atom

=====

2.
Material: Na2LaGe
Method: DFT, PBE
State: optimized geometry

Cell: 4.4401 4.4401 24.5116 Å, 90.00 90.00 90.00°
Space group I-42d (No. 122)
One atom of each set of equivalent atoms:
Na 0.2137 0.2500 0.1250
La 0.0000 0.0000 0.5000
Ge 0.0000 0.0000 0.0000

Computed properties:
* crystal system: tetragonal
* mass density: 3.540 g/cm³
* D(E_F): 0.492 states/eV per atom
* E: -3.146 eV per atom
* ΔE_f: -0.1004 eV per atom
* total moment: 0.000 μB/atom

=====

3.
Material: La5DyHo
Method: DFT, PBE
State: optimized geometry

Cell: 6.2666 17.7290 9.2182 Å, 90.00 101.36 90.00°
Space group C2/c (No. 15)
One atom of each set of equivalent atoms:
La 0.0000 0.1380 0.2500
La 0.1105 0.3482 0.9648
La 0.2048 0.1847 0.6484
Dy 0.0000 0.4901 0.2500
Ho 0.0000 0.0000 0.0000

Computed properties:
* crystal system: monoclinic
* mass density: 6.760 g/cm³
* D(E_F): 1.580 states/eV per atom
* E: -4.664 eV per atom
* ΔE_f: 0.1671 eV per atom
* total moment: 0.000 μB/atom

=====

4.
Material: K2LaMo
Method: DFT, PBE
State: optimized geometry

Cell: 5.8743 13.7503 3.5940 Å, 90.00 119.58 90.00°
Space group C2/m (No. 12)
One atom of each set of equivalent atoms:
K 0.2500 0.2500 0.0000
La 0.0000 0.0000 0.5000
Mo 0.0000 0.5000 0.5000

Computed properties:
* polymorph energy (0 for the lowest one): 1.57 eV/f.u.
* crystal system: monoclinic
* mass density: 4.118 g/cm³
* D(E_F): 0.967 states/eV per atom
* E: -3.380 eV per atom
* ΔE_f: 1.1084 eV per atom
* total moment: 0.011 μB/atom

=====

5.
Material: Na2CuAgBr5
Method: DFT, PBE
State: optimized geometry

Cell: 4.0251 19.7460 12.8166 Å, 90.00 90.00 90.00°
Space group Cmc2_1 (No. 36)
One atom of each set of equivalent atoms:
Na 0.0000 0.0863 0.0000
Na 0.0000 0.1156 0.6854
Cu 0.0000 0.4283 0.7822
Ag 0.0000 0.2176 0.4092
Br 0.0000 0.0436 0.3789
Br 0.0000 0.2882 0.0540
Br 0.0000 0.3072 0.7639
Br 0.0000 0.3608 0.3582
Br 0.0000 0.4962 0.6237

Computed properties:
* crystal system: orthorhombic
* mass density: 4.023 g/cm³
* D(E_F): 0.871 states/eV per atom
* E: -2.810 eV per atom
* total moment: 0.063 μB/atom

=====

6.
Material: Te4PW
Method: DFT, PBE
State: optimized geometry

Cell: 8.7027 8.7027 8.7027 Å, 90.00 90.00 90.00°
Space group F-43m (No. 216)
One atom of each set of equivalent atoms:
Te 0.1244 0.1244 0.1244
P 0.0000 0.0000 0.5000
W 0.2500 0.2500 0.7500

Computed properties:
* crystal system: cubic
* mass density: 7.308 g/cm³
* D(E_F): 1.277 states/eV per atom
* E: -3.578 eV per atom
* total moment: 0.326 μB/atom

=====

7.
Material: ScAl2As
Method: DFT, PBE
State: optimized geometry

Cell: 5.4572 10.3278 3.8147 Å, 90.00 133.20 90.00°
Space group C2/m (No. 12)
One atom of each set of equivalent atoms:
Sc 0.0000 0.0000 0.0000
Al 0.2500 0.2500 0.0000
As 0.0000 0.5000 0.0000

Computed properties:
* crystal system: monoclinic
* mass density: 3.684 g/cm³
* D(E_F): 0.331 states/eV per atom
* E: -5.012 eV per atom
* ΔE_f: -0.3950 eV per atom
* total moment: 0.000 μB/atom

=====

8.
Material: LiCa2Y
Method: DFT, PBE
State: optimized geometry

Cell: 13.3193 3.8087 5.9722 Å, 90.00 116.61 90.00°
Space group Cm (No. 8)
One atom of each set of equivalent atoms:
Li 0.0000 0.0000 0.0000
Ca 0.0007 0.5000 0.5015
Ca 0.2243 0.5000 0.2263
Y 0.2793 0.0000 0.7813

Computed properties:
* polymorph energy (0 for the lowest one): 0.13 eV/f.u.
* crystal system: monoclinic
* mass density: 2.158 g/cm³
* D(E_F): 1.353 states/eV per atom
* E: -2.968 eV per atom
* ΔE_f: 0.1273 eV per atom
* total moment: 0.000 μB/atom

=====

9.
Material: K2Be2Al
Method: DFT, PBE
State: optimized geometry

Cell: 4.4480 4.4480 13.7349 Å, 90.00 90.00 90.00°
Space group I4/mmm (No. 139)
One atom of each set of equivalent atoms:
K 0.0000 0.5000 0.2500
Be 0.0000 0.0000 0.0742
Al 0.0000 0.0000 0.5000

Computed properties:
* polymorph energy (0 for the lowest one): 2.16 eV/f.u.
* crystal system: tetragonal
* mass density: 1.506 g/cm³
* D(E_F): 1.000 states/eV per atom
* E: -1.531 eV per atom
* ΔE_f: 1.1469 eV per atom
* total moment: 0.000 μB/atom

=====

10.
Material: TmHPt3
Method: DFT, PBE
State: optimized geometry

Cell: 5.9165 5.9165 7.1704 Å, 90.00 90.00 120.00°
Space group R3m (No. 160, hexagonal axes)
One atom of each set of equivalent atoms:
Tm 0.0000 0.0000 0.0000
H 0.0000 0.0000 0.3325
Pt 0.1744 0.3488 0.3323

Computed properties:
* polymorph energy (0 for the lowest one): 0.00 eV/f.u.
* crystal system: trigonal
* mass density: 17.307 g/cm³
* D(E_F): 0.054 states/eV per atom
* E: -6.046 eV per atom
* total moment: 0.000 μB/atom

=====

11.
Material: Hf2Te
Method: DFT, PBE
State: optimized geometry

Cell: 3.4984 3.4984 20.1144 Å, 90.00 90.00 120.00°
Space group R-3m (No. 166, hexagonal axes)
One atom of each set of equivalent atoms:
Hf 0.0000 0.0000 0.2243
Te 0.0000 0.0000 0.0000

Computed properties:
* crystal system: trigonal
* mass density: 11.321 g/cm³
* D(E_F): 0.623 states/eV per atom
* E: -7.902 eV per atom
* total moment: 0.000 μB/atom

=====

12.
Material: La3CeGe2C
Method: DFT, PBE
State: optimized geometry

Cell: 4.8076 5.0107 16.0301 Å, 90.00 90.00 90.00°
Space group Immm (No. 71)
One atom of each set of equivalent atoms:
La 0.0000 0.0000 0.0000
La 0.0000 0.5000 0.1722
Ce 0.0000 0.0000 0.5000
Ge 0.0000 0.5000 0.3662
C 0.0000 0.5000 0.0000

Computed properties:
* crystal system: orthorhombic
* mass density: 6.142 g/cm³
* D(E_F): 0.689 states/eV per atom
* E: -6.125 eV per atom
* ΔE_f: -0.5283 eV per atom
* total moment: 0.000 μB/atom

=====

Please write out number 9 again, unchanged.
Material: K2Be2Al
Method: DFT, PBE
State: optimized geometry

Cell: 4.4480 4.4480 13.7349 Å, 90.00 90.00 90.00°
Space group I4/mmm (No. 139)
One atom of each set of equivalent atoms:
K 0.0000 0.5000 0.2500
Be 0.0000 0.0000 0.0742
Al 0.0000 0.0000 0.5000

Computed properties:
* polymorph energy (0 for the lowest one): 2.16 eV/f.u.
* crystal system: tetragonal
* mass density: 1.506 g/cm³
* D(E_F): 1.000 states/eV per atom
* E: -1.531 eV per atom
* ΔE_f: 1.1469 eV per atom
* total moment: 0.000 μB/atom

=====

> Which formula does entry 1 have?

Tb3MgN